*a*
ScBeInFe | PBE-GGA | relaxed

The structure in extended XYZ format:
```
4
Lattice="0.000 3.131 3.131 3.131 0.000 3.131 3.131 3.131 0.000" Properties=species:S:1:pos:R:3 pbc="T T T"
Sc 0.000 0.000 0.000
Be 3.131 3.131 3.131
In 4.697 4.697 4.697
Fe 1.566 1.566 1.566
```

Calculated values
Its symmetry is F-43m (216).

=====

*b*
ScBeInFe | PBE-GGA | relaxed

The structure in extended XYZ format:
```
4
Lattice="0.000 3.120 3.120 3.120 0.000 3.120 3.120 3.120 0.000" Properties=species:S:1:pos:R:3 pbc="T T T"
Sc 0.000 0.000 0.000
Be 1.560 1.560 1.560
In 3.120 3.120 3.120
Fe 4.680 4.680 4.680
```

Calculated values
Its symmetry is F-43m (216).

=====

Stability ranking, top and bottom: *b* is the most stable and *a* is the least stable.

=====

*a*
TaBeInFe | PBE-GGA | relaxed

The structure in extended XYZ format:
```
4
Lattice="0.000 3.085 3.085 3.085 0.000 3.085 3.085 3.085 0.000" Properties=species:S:1:pos:R:3 pbc="T T T"
Ta 0.000 0.000 0.000
Be 3.085 3.085 3.085
In 1.542 1.542 1.542
Fe 4.627 4.627 4.627
```

Calculated values
Its symmetry is F-43m (216).

=====

*b*
TaBeInFe | PBE-GGA | relaxed

The structure in extended XYZ format:
```
4
Lattice="0.000 3.126 3.126 3.126 0.000 3.126 3.126 3.126 0.000" Properties=species:S:1:pos:R:3 pbc="T T T"
Ta 0.000 0.000 0.000
Be 4.688 4.688 4.688
In 1.563 1.563 1.563
Fe 3.126 3.126 3.126
```

Calculated values
Its symmetry is F-43m (216).

=====

Stability ranking, top and bottom: *a* is the most stable and *b* is the least stable.

=====

*a*
LaBeFeSb | PBE-GGA | relaxed

The structure in extended XYZ format:
```
4
Lattice="0.000 3.336 3.336 3.336 0.000 3.336 3.336 3.336 0.000" Properties=species:S:1:pos:R:3 pbc="T T T"
La 0.000 0.000 0.000
Be 5.004 5.004 5.004
Fe 1.668 1.668 1.668
Sb 3.336 3.336 3.336
```

Calculated values
Its symmetry is F-43m (216).

=====

*b*
LaBeFeSb | PBE-GGA | relaxed

The structure in extended XYZ format:
```
4
Lattice="0.000 3.476 3.476 3.476 0.000 3.476 3.476 3.476 0.000" Properties=species:S:1:pos:R:3 pbc="T T T"
La 0.000 0.000 0.000
Be 3.476 3.476 3.476
Fe 5.215 5.215 5.215
Sb 1.738 1.738 1.738
```

Calculated values
Its symmetry is F-43m (216).

=====

Stability ranking, top and bottom: *a* is the most stable and *b* is the least stable.

=====

*a*
LiBeFeSn | PBE-GGA | relaxed

The structure in extended XYZ format:
```
4
Lattice="0.000 2.971 2.971 2.971 0.000 2.971 2.971 2.971 0.000" Properties=species:S:1:pos:R:3 pbc="T T T"
Li 0.000 0.000 0.000
Be 2.971 2.971 2.971
Fe 4.456 4.456 4.456
Sn 1.485 1.485 1.485
```

Calculated values
Its symmetry is F-43m (216).

=====

*b*
LiBeFeSn | PBE-GGA | relaxed

The structure in extended XYZ format:
```
4
Lattice="0.000 2.957 2.957 2.957 0.000 2.957 2.957 2.957 0.000" Properties=species:S:1:pos:R:3 pbc="T T T"
Li 0.000 0.000 0.000
Be 1.478 1.478 1.478
Fe 2.957 2.957 2.957
Sn 4.435 4.435 4.435
```

Calculated values
Its symmetry is F-43m (216).

=====

Stability ranking, top and bottom: *b* is the most stable and *a* is the least stable.

=====

*a*
LiBeFeTc | PBE-GGA | relaxed

The structure in extended XYZ format:
```
4
Lattice="0.000 2.808 2.808 2.808 0.000 2.808 2.808 2.808 0.000" Properties=species:S:1:pos:R:3 pbc="T T T"
Li 0.000 0.000 0.000
Be 2.808 2.808 2.808
Fe 4.212 4.212 4.212
Tc 1.404 1.404 1.404
```

Calculated values
Its symmetry is F-43m (216).

=====

*b*
LiBeFeTc | PBE-GGA | relaxed

The structure in extended XYZ format:
```
4
Lattice="0.000 2.775 2.775 2.775 0.000 2.775 2.775 2.775 0.000" Properties=species:S:1:pos:R:3 pbc="T T T"
Li 0.000 0.000 0.000
Be 4.163 4.163 4.163
Fe 2.775 2.775 2.775
Tc 1.388 1.388 1.388
```

Calculated values
Its symmetry is F-43m (216).

=====

Stability ranking, top and bottom: *b* is the most stable and *a* is the least stable.

=====

*a*
LuBeFeSb | PBE-GGA | relaxed

The structure in extended XYZ format:
```
4
Lattice="0.000 3.146 3.146 3.146 0.000 3.146 3.146 3.146 0.000" Properties=species:S:1:pos:R:3 pbc="T T T"
Lu 0.000 0.000 0.000
Be 1.573 1.573 1.573
Fe 4.720 4.720 4.720
Sb 3.146 3.146 3.146
```

Calculated values
Its symmetry is F-43m (216).

=====

*b*
LuBeFeSb | PBE-GGA | relaxed

The structure in extended XYZ format:
```
4
Lattice="0.000 3.207 3.207 3.207 0.000 3.207 3.207 3.207 0.000" Properties=species:S:1:pos:R:3 pbc="T T T"
Lu 0.000 0.000 0.000
Be 4.811 4.811 4.811
Fe 3.207 3.207 3.207
Sb 1.604 1.604 1.604
```

Calculated values
Its symmetry is F-43m (216).

=====

*c*
LuBeFeSb | PBE-GGA | relaxed

The structure in extended XYZ format:
```
4
Lattice="0.000 3.292 3.292 3.292 0.000 3.292 3.292 3.292 0.000" Properties=species:S:1:pos:R:3 pbc="T T T"
Lu 0.000 0.000 0.000
Be 3.292 3.292 3.292
Fe 4.938 4.938 4.938
Sb 1.646 1.646 1.646
```

Calculated values
Its symmetry is F-43m (216).

=====

Stability ranking, top and bottom: *a* is the most stable and *c* is the least stable.